The following is a DFT calculation (PBE with a Hubbard U) of MgFe2WO6 after structural relaxation.

Geometry as CIF:
```
data_MgFe2WO6
_chemical_formula_sum 'Mg1 Fe2 W1 O6'
_symmetry_space_group_name_H-M 'P 1'
_symmetry_Int_Tables_number 1
_symmetry_space_group_name_Hall 'P 1'
_cell_length_a 5.2656
_cell_length_b 5.2756
_cell_length_c 5.5602
_cell_angle_alpha 62.51
_cell_angle_beta 62.58
_cell_angle_gamma 60.30
loop_
_atom_site_label
_atom_site_fract_x
_atom_site_fract_y
_atom_site_fract_z
Mg1 0.0000 0.0000 0.0000
Fe1 0.2880 0.2907 0.1354
Fe2 0.7940 0.7881 0.6381
W1 0.4903 0.4985 0.5195
O1 0.1251 0.3774 0.8008
O2 0.2328 0.8548 0.3059
O3 0.3824 0.7067 0.7897
O4 0.5914 0.2416 0.3043
O5 0.7124 0.1184 0.7827
O6 0.8516 0.6057 0.3160
```

## Properties
Total energy = -6.907 eV per atom